A geometry-optimized Ca2RuAu structure. Source: Alexandria, functional PBE.

The structure in POSCAR format:
```
Ca2RuAu
1.0
5.048 0.071 0.000
-0.485 5.025 0.000
0.000 0.000 3.451
Ca Ru Au
2 1 1
Cartesian
0.000 0.000 0.000
2.281 2.548 0.000
2.524 0.035 1.726
-0.243 2.513 1.726
```

Computed properties:
The calculated volume is 21.92 Å³ per atom. Its space group is Cmmm. Its mass density is 7.16 g/cm³. The total energy comes out at -4.254 eV/atom. The formation energy comes out at -115 meV/atom. As for the density of states at the Fermi level: 1.125 states/eV per atom.